PBE+U AlCr2NiO, optimized geometry; SG = P4/mmm; crystal system = tetragonal; V = 97 Å³/cell; total DFT energy (no corrections) = -4.84 eV/atom
1.0
5.341 0.000 0.000
0.000 5.341 0.000
0.000 0.000 3.415
Al Cr Ni O
1 2 1 1
Direct
0.000 0.000 0.000
0.000 0.500 0.000
0.500 0.000 0.000
0.500 0.500 0.500
0.000 0.000 0.500